! ZrSiPdO2 (SCAN, single point on PBEsol structure); values from VASP
&SYSTEM
  ibrav = 0, nat = 5, ntyp = 4
/
ATOMIC_SPECIES
O 16.00 O.upf
Si 28.09 Si.upf
Zr 91.22 Zr.upf
Pd 106.42 Pd.upf
CELL_PARAMETERS angstrom
3.9263 0.0000 0.0000
0.0000 3.9263 0.0000
0.0000 0.0000 5.5794
ATOMIC_POSITIONS angstrom
O 0.0000 1.9632 0.0000
O 1.9632 0.0000 0.0000
Si 1.9632 1.9632 2.7897
Zr 0.0000 0.0000 0.0000
Pd 0.0000 0.0000 2.7897
! Space group ... No. 123
! Theoretical density ... 4.98 g/cm3
! Formation energy (no corrections) ... -1.235 eV per atom
! Fermi-level density of states ... 1.69 states/eV/cell

! TlAgMo2 (SCAN, single point on PBEsol structure); values from VASP
&SYSTEM
  ibrav = 0, nat = 4, ntyp = 3
/
ATOMIC_SPECIES
Ag 107.87 Ag.upf
Mo 95.94 Mo.upf
Tl 204.38 Tl.upf
CELL_PARAMETERS angstrom
3.5772 0.0000 0.0000
0.0000 4.1389 0.0000
0.0000 0.0000 4.5801
ATOMIC_POSITIONS angstrom
Ag 0.0000 2.0695 2.2901
Mo 0.0000 0.0000 0.0000
Mo 1.7886 2.0695 0.0000
Tl 1.7886 0.0000 2.2901
! Space group ... No. 47
! Energy relative to the elements ... 641 meV per atom
! ΔE to the lowest computed polymorph ... 170.8 meV/atom
! Theoretical density ... 12.34 g/cm3
! Fermi-level density of states ... 2.01 states/eV/cell

! CdAu (SCAN, single point on PBEsol structure); values from VASP
&SYSTEM
  ibrav = 0, nat = 2, ntyp = 2
/
ATOMIC_SPECIES
Au 196.97 Au.upf
Cd 112.41 Cd.upf
CELL_PARAMETERS angstrom
-2.2180 1.1318 -1.6937
-0.6000 -2.1377 2.0345
-0.7778 3.2628 3.1989
ATOMIC_POSITIONS angstrom
Au -2.0675 1.6734 1.1485
Cd 0.0000 0.0000 0.0000
! Space group ... No. 187
! Energy relative to the elements ... -140 meV per atom
! Theoretical density ... 14.11 g/cm3
! Fermi-level density of states ... 0.81 states/eV/cell